1.
Entry from Alexandria via LeMat-Bulk: an optimized crystal structure of Pm3Pd2 (PBE-GGA).

Properties
Raw total energy ... -5.509 eV/atom
D(E_F) ... 1.01 states/eV per atom
Energy relative to the elements ... -56.1 kJ per mole of atoms

extended XYZ file:
```
5
Lattice="-1.320 -3.347 0.594 1.981 -1.275 -2.784 6.994 0.494 7.140" Properties=species:S:1:pos:R:3 pbc="T T T"
Pm 0.000 0.000 0.000
Pm 5.010 -3.472 2.768
Pm 2.644 -0.656 2.182
Pd 1.662 -2.641 0.004
Pd 5.993 -1.487 4.946
```

2.
Entry from Alexandria via LeMat-Bulk: an optimized crystal structure of Pm5Pd3 (PBE-GGA).

Properties
Raw total energy ... -5.523 eV/atom
D(E_F) ... 0.92 states/eV per atom
Energy relative to the elements ... -58.6 kJ per mole of atoms

extended XYZ file:
```
32
Lattice="-4.224 -4.985 -0.217 8.454 -7.275 2.553 -2.188 1.369 11.147" Properties=species:S:1:pos:R:3 pbc="T T T"
Pm -0.673 -7.036 3.181
Pm -3.442 -2.823 7.992
Pm 0.000 0.000 0.000
Pm 0.699 -3.846 1.672
Pm -0.074 -1.352 7.086
Pm -2.112 -2.492 -0.109
Pm -1.790 -4.092 4.961
Pm 2.433 -5.759 11.867
Pm -3.205 -5.217 10.694
Pm 3.133 -2.953 6.850
Pm -0.419 -7.554 10.141
Pm 1.021 -5.446 6.741
Pm 2.113 -9.373 2.628
Pm -0.418 -0.902 3.452
Pm 4.395 -9.354 5.434
Pm 2.968 -5.860 3.751
Pm 5.595 -6.290 10.192
Pm 5.250 -5.840 6.558
Pm 2.743 -8.085 8.465
Pm 0.164 -3.746 9.788
Pd 3.757 -4.193 1.252
Pd -4.848 -3.745 5.381
Pd 3.048 -5.115 8.919
Pd 1.645 -6.685 1.144
Pd 2.127 -8.730 11.413
Pd 5.749 -7.182 3.830
Pd 1.614 -8.032 5.355
Pd 1.106 -3.284 4.672
Pd -1.594 -1.217 9.761
Pd -1.684 -5.352 8.019
Pd -2.197 -4.654 1.961
Pd -2.736 -1.253 5.489
```

3.
Entry from Alexandria via LeMat-Bulk: an optimized crystal structure of PmPd4 (PBE-GGA).

Properties
Raw total energy ... -5.712 eV/atom
D(E_F) ... 0.74 states/eV per atom
Energy relative to the elements ... -58.7 kJ per mole of atoms

extended XYZ file:
```
10
Lattice="0.184 3.311 2.934 -3.210 3.328 -3.555 -4.307 -5.689 3.349" Properties=species:S:1:pos:R:3 pbc="T T T"
Pd -2.240 0.781 2.600
Pd -5.094 0.169 0.129
Pd -5.243 0.642 2.944
Pd -3.741 2.338 0.937
Pd -1.513 3.319 -0.311
Pd -3.593 -1.388 1.791
Pd -2.091 0.308 -0.216
Pd 0.092 1.656 1.467
Pm -3.677 -1.037 4.742
Pm -3.657 1.987 -2.014
```

4.
Entry from Alexandria via LeMat-Bulk: an optimized crystal structure of Pm3Pd (PBE-GGA).

Properties
Raw total energy ... -5.263 eV/atom
D(E_F) ... 1.38 states/eV per atom
Energy relative to the elements ... -38.7 kJ per mole of atoms

extended XYZ file:
```
8
Lattice="3.891 0.000 0.000 -1.945 6.157 0.000 0.000 0.000 9.815" Properties=species:S:1:pos:R:3 pbc="T T T"
Pd 0.000 3.307 2.454
Pd 1.945 2.850 7.361
Pm 0.000 1.671 5.499
Pm 0.000 1.671 9.224
Pm 1.945 4.487 4.316
Pm 1.945 0.881 2.454
Pm 0.000 5.277 7.361
Pm 1.945 4.487 0.591
```

5.
Entry from Alexandria via LeMat-Bulk: an optimized crystal structure of PmPd4 (PBE-GGA).

Properties
Raw total energy ... -4.284 eV/atom
D(E_F) ... 0.39 states/eV per atom
Energy relative to the elements ... 79.2 kJ per mole of atoms

extended XYZ file:
```
5
Lattice="5.052 0.000 0.000 0.000 5.052 0.000 0.000 0.000 5.052" Properties=species:S:1:pos:R:3 pbc="T T T"
Pd 2.526 2.526 0.000
Pd 0.000 2.526 2.526
Pd 0.000 0.000 0.000
Pd 2.526 0.000 2.526
Pm 2.526 2.526 2.526
```

6.
Entry from Alexandria via LeMat-Bulk: an optimized crystal structure of PmPd4 (PBE-GGA).

Properties
Raw total energy ... -5.572 eV/atom
D(E_F) ... 0.89 states/eV per atom
Energy relative to the elements ... -45.1 kJ per mole of atoms

extended XYZ file:
```
20
Lattice="-4.834 4.964 3.916 3.901 -4.571 5.218 5.233 4.211 -4.270" Properties=species:S:1:pos:R:3 pbc="T T T"
Pm 2.176 -2.549 2.910
Pm 1.902 2.036 2.151
Pm -2.696 2.768 2.184
Pm 2.918 2.348 -2.381
Pd 0.139 3.201 -0.124
Pd 0.260 5.974 -0.231
Pd 1.109 0.893 -0.905
Pd -0.034 4.686 2.106
Pd 1.817 0.107 4.804
Pd -1.025 1.053 0.830
Pd 4.334 -0.082 2.758
Pd -0.325 0.137 3.187
Pd 5.947 -0.235 0.618
Pd -0.367 2.490 4.479
Pd 2.483 4.497 0.060
Pd 4.667 2.114 0.386
Pd 0.827 -0.969 1.106
Pd 3.388 3.628 3.833
Pd 3.187 -0.126 0.331
Pd -0.607 0.256 5.947
```

7.
Entry from Alexandria via LeMat-Bulk: an optimized crystal structure of Pm2Pd17 (PBE-GGA).

Properties
Raw total energy ... -5.462 eV/atom
D(E_F) ... 1.21 states/eV per atom
Energy relative to the elements ... -30.4 kJ per mole of atoms

extended XYZ file:
```
19
Lattice="6.966 -0.034 -0.030 0.954 6.901 -0.030 0.954 0.827 6.851" Properties=species:S:1:pos:R:3 pbc="T T T"
Pd 6.520 2.663 2.351
Pd 3.483 -0.017 -0.015
Pd 0.477 3.450 -0.015
Pd 5.135 0.229 2.066
Pd 0.954 5.051 2.066
Pd 5.314 1.617 4.441
Pd 0.954 2.677 4.755
Pd 3.561 6.077 2.351
Pd 2.785 4.789 -0.030
Pd 3.561 3.087 5.738
Pd 0.477 0.414 3.425
Pd 2.785 0.565 4.755
Pd 2.355 5.031 4.441
Pd 7.979 6.917 6.106
Pd 5.135 2.078 -0.030
Pd 0.896 0.777 0.686
Pd 5.314 4.607 1.054
Pm 2.941 2.550 2.251
Pm 5.934 5.144 4.541
```

8.
Entry from Alexandria via LeMat-Bulk: an optimized crystal structure of Pm3Pd (PBE-GGA).

Properties
Raw total energy ... -5.037 eV/atom
D(E_F) ... 1.12 states/eV per atom
Energy relative to the elements ... -17.0 kJ per mole of atoms

extended XYZ file:
```
4
Lattice="3.749 0.000 0.000 0.000 3.633 0.000 0.000 0.000 9.267" Properties=species:S:1:pos:R:3 pbc="T T T"
Pm 0.000 1.817 4.321
Pm 1.874 0.000 6.903
Pm 1.874 1.817 1.234
Pd 0.000 0.000 9.164
```

9.
Entry from Alexandria via LeMat-Bulk: an optimized crystal structure of PmPd8 (PBE-GGA).

Properties
Raw total energy ... -5.484 eV/atom
D(E_F) ... 1.42 states/eV per atom
Energy relative to the elements ... -32.9 kJ per mole of atoms

extended XYZ file:
```
9
Lattice="4.070 0.000 0.000 2.035 6.078 0.000 2.035 0.000 6.078" Properties=species:S:1:pos:R:3 pbc="T T T"
Pd 4.070 2.054 2.054
Pd 4.070 3.983 0.000
Pd 4.070 0.000 3.983
Pd 2.035 2.054 4.024
Pd 2.035 0.000 2.095
Pd 2.035 4.024 2.054
Pd 4.070 4.024 4.024
Pd 2.035 2.095 0.000
Pm 0.000 0.000 0.000
```

10.
Entry from Alexandria via LeMat-Bulk: an optimized crystal structure of Pm3PrPd2 (PBE-GGA).

Properties
Raw total energy ... -5.391 eV/atom
D(E_F) ... 1.27 states/eV per atom
Energy relative to the elements ... -47.1 kJ per mole of atoms

extended XYZ file:
```
12
Lattice="6.998 0.000 0.000 -3.499 6.160 -1.994 0.000 -0.010 8.023" Properties=species:S:1:pos:R:3 pbc="T T T"
Pm 5.215 -0.002 2.006
Pm 3.494 3.507 6.025
Pm 3.504 3.512 2.013
Pm 0.005 2.643 0.005
Pm 1.783 -0.007 6.018
Pm -0.005 2.638 4.016
Pr 1.706 -0.002 2.006
Pr 5.292 -0.007 6.018
Pd 3.503 1.482 0.003
Pd 0.004 4.673 2.014
Pd 3.495 1.477 4.015
Pd -0.004 4.668 6.026
```

11.
Entry from Alexandria via LeMat-Bulk: an optimized crystal structure of PmPrPd2 (PBE-GGA).

Properties
Raw total energy ... -5.716 eV/atom
D(E_F) ... 0.68 states/eV per atom
Energy relative to the elements ... -71.2 kJ per mole of atoms

extended XYZ file:
```
4
Lattice="3.553 0.000 0.000 0.000 5.175 0.000 0.000 0.000 5.175" Properties=species:S:1:pos:R:3 pbc="T T T"
Pr 1.777 2.588 2.588
Pd 0.000 2.588 0.000
Pd 0.000 0.000 2.588
Pm 1.777 0.000 0.000
```

12.
Entry from Alexandria via LeMat-Bulk: an optimized crystal structure of Pm6PrPd3 (PBE-GGA).

Properties
Raw total energy ... -5.326 eV/atom
D(E_F) ... 1.15 states/eV per atom
Energy relative to the elements ... -42.4 kJ per mole of atoms

extended XYZ file:
```
20
Lattice="-1.882 7.060 -0.887 0.916 -0.872 -8.883 -8.672 -2.253 0.473" Properties=species:S:1:pos:R:3 pbc="T T T"
Pm -5.127 -0.851 -6.189
Pm -8.472 -0.407 -4.980
Pm -1.441 5.371 -4.447
Pm -4.222 1.305 -0.372
Pm -1.357 -1.072 -6.712
Pm -5.691 3.659 -9.055
Pm -4.205 3.637 -2.964
Pm -0.660 3.736 -9.142
Pm -8.638 -1.078 0.005
Pm -6.868 2.564 -5.852
Pm -2.464 0.222 -3.301
Pm -7.406 1.722 -2.172
Pd -5.236 1.000 -3.905
Pd -4.140 6.053 -1.491
Pd -1.360 2.787 -2.842
Pd -4.877 4.717 -5.617
Pd -6.278 0.806 -8.174
Pd -9.058 4.072 -6.823
Pr -3.173 2.465 -6.352
Pr -5.659 -1.558 -2.565
```

13.
Entry from Alexandria via LeMat-Bulk: an optimized crystal structure of Pm3PrPd2 (PBE-GGA).

Properties
Raw total energy ... -5.329 eV/atom
D(E_F) ... 0.98 states/eV per atom
Energy relative to the elements ... -41.1 kJ per mole of atoms

extended XYZ file:
```
12
Lattice="7.136 0.000 0.000 0.000 7.276 0.000 -3.568 -3.638 7.074" Properties=species:S:1:pos:R:3 pbc="T T T"
Pm 0.000 1.819 3.338
Pm 3.568 -1.819 3.737
Pm 3.568 5.457 0.000
Pm 3.568 1.819 3.737
Pm 0.000 5.457 3.338
Pm 3.568 1.819 0.000
Pr 0.000 0.000 0.000
Pr 0.000 3.638 0.000
Pd 5.040 0.000 1.993
Pd -1.473 3.638 5.081
Pd 1.473 0.000 5.081
Pd 2.095 3.638 1.993
```

14.
Entry from Alexandria via LeMat-Bulk: an optimized crystal structure of PmPr5Pd2 (PBE-GGA).

Properties
Raw total energy ... -5.183 eV/atom
D(E_F) ... 1.07 states/eV per atom
Energy relative to the elements ... -29.3 kJ per mole of atoms

extended XYZ file:
```
16
Lattice="3.991 0.000 0.000 -1.996 6.401 0.000 0.000 0.000 19.211" Properties=species:S:1:pos:R:3 pbc="T T T"
Pr 0.000 4.539 8.855
Pr 1.996 1.862 18.460
Pr 1.996 5.602 17.029
Pr 1.996 1.862 10.356
Pr 1.996 1.712 4.803
Pr 0.000 0.798 2.182
Pr 1.996 5.602 11.787
Pr 0.000 4.689 14.408
Pr 0.000 0.798 7.424
Pr 0.000 4.539 0.751
Pm 1.996 1.718 14.408
Pm 0.000 4.683 4.803
Pd 1.996 3.512 2.565
Pd 1.996 3.512 7.040
Pd 0.000 2.889 16.646
Pd 0.000 2.889 12.171
```

15.
Entry from Alexandria via LeMat-Bulk: an optimized crystal structure of Pm5PrPd4 (PBE-GGA).

Properties
Raw total energy ... -5.531 eV/atom
D(E_F) ... 1.00 states/eV per atom
Energy relative to the elements ... -58.0 kJ per mole of atoms

extended XYZ file:
```
10
Lattice="-1.564 -2.829 -1.608 -0.727 -1.436 3.232 -17.367 9.439 0.289" Properties=species:S:1:pos:R:3 pbc="T T T"
Pd -3.946 2.145 0.066
Pd -10.283 5.589 0.171
Pd -7.085 3.851 0.118
Pd -13.421 7.295 0.224
Pm -12.999 4.311 1.009
Pm -16.099 5.995 1.061
Pm -9.829 2.587 0.956
Pm -3.559 -0.821 0.852
Pm -6.658 0.864 0.904
Pr 0.000 0.000 0.000
```

16.
Entry from Alexandria via LeMat-Bulk: an optimized crystal structure of PmPrPd3 (PBE-GGA).

Properties
Raw total energy ... -5.782 eV/atom
D(E_F) ... 0.63 states/eV per atom
Energy relative to the elements ... -73.3 kJ per mole of atoms

extended XYZ file:
```
10
Lattice="-2.713 2.358 -2.527 0.278 -2.685 -2.804 -10.815 -5.279 6.686" Properties=species:S:1:pos:R:3 pbc="T T T"
Pd -4.526 -1.206 -1.996
Pd -4.479 -3.197 -0.084
Pd -8.724 -4.401 3.351
Pd -2.467 0.071 -3.015
Pd -8.771 -2.410 1.439
Pd -10.783 -5.679 4.370
Pr -11.045 -5.250 1.231
Pr -2.205 -0.357 0.124
Pm -6.859 -4.673 1.094
Pm -6.391 -0.934 0.261
```

17.
Entry from Alexandria via LeMat-Bulk: an optimized crystal structure of PmPrPd2 (PBE-GGA).

Properties
Raw total energy ... -5.653 eV/atom
D(E_F) ... 0.59 states/eV per atom
Energy relative to the elements ... -65.0 kJ per mole of atoms

extended XYZ file:
```
4
Lattice="-0.043 -2.949 3.008 -1.773 -3.747 -0.749 5.426 -4.633 -1.513" Properties=species:S:1:pos:R:3 pbc="T T T"
Pr 0.000 0.000 0.000
Pm 1.805 -5.664 0.373
Pd 0.934 -2.845 0.175
Pd 2.676 -8.484 0.572
```

18.
Entry from Alexandria via LeMat-Bulk: an optimized crystal structure of Pm2Pr2Pd3 (PBE-GGA).

Properties
Raw total energy ... -5.498 eV/atom
D(E_F) ... 0.80 states/eV per atom
Energy relative to the elements ... -53.0 kJ per mole of atoms

extended XYZ file:
```
7
Lattice="4.272 -0.005 0.004 -2.130 6.845 -0.129 0.000 -1.163 7.163" Properties=species:S:1:pos:R:3 pbc="T T T"
Pm 2.146 4.312 4.433
Pm -0.004 1.365 2.605
Pd 0.000 0.000 0.000
Pd 2.135 3.127 1.781
Pd 0.007 2.550 5.257
Pr 0.003 4.975 0.765
Pr 2.140 0.701 6.274
```

19.
Entry from Alexandria via LeMat-Bulk: an optimized crystal structure of PmPr3Pd12 (PBE-GGA).

Properties
Raw total energy ... -5.840 eV/atom
D(E_F) ... 0.56 states/eV per atom
Energy relative to the elements ... -72.6 kJ per mole of atoms

extended XYZ file:
```
16
Lattice="4.205 0.000 0.000 0.000 4.205 0.000 0.000 0.000 16.918" Properties=species:S:1:pos:R:3 pbc="T T T"
Pd 0.000 2.102 2.083
Pd 2.102 2.102 12.705
Pd 2.102 0.000 10.583
Pd 2.102 0.000 6.336
Pd 2.102 2.102 4.213
Pd 2.102 2.102 8.459
Pd 0.000 2.102 10.583
Pd 2.102 0.000 2.083
Pd 0.000 2.102 6.336
Pd 0.000 2.102 14.835
Pd 2.102 2.102 0.000
Pd 2.102 0.000 14.835
Pr 0.000 0.000 8.459
Pr 0.000 0.000 12.712
Pr 0.000 0.000 4.207
Pm 0.000 0.000 0.000
```

20.
Entry from Alexandria via LeMat-Bulk: an optimized crystal structure of Pm4PrPd (PBE-GGA).

Properties
Raw total energy ... -4.973 eV/atom
D(E_F) ... 1.29 states/eV per atom
Energy relative to the elements ... -13.9 kJ per mole of atoms

extended XYZ file:
```
12
Lattice="-3.173 0.670 -4.339 -3.912 -4.771 2.124 -4.332 6.945 7.622" Properties=species:S:1:pos:R:3 pbc="T T T"
Pr -9.581 1.233 3.814
Pr -3.264 -0.129 2.367
Pm -4.426 -3.386 2.713
Pm -3.801 2.422 -0.228
Pm -8.699 3.101 6.840
Pm -6.598 1.163 1.623
Pm -6.180 2.174 4.855
Pm -3.055 -0.667 -1.251
Pm -8.332 4.595 3.421
Pm -3.308 3.524 2.964
Pd -5.311 4.967 4.651
Pd -5.428 -1.296 0.387
```

Record-wise calculated volume values, in A^3/atom: 25.7; 26.7; 18.0; 29.4; 25.8; 19.4; 17.4; 31.6; 16.7; 28.8; 23.8; 29.4; 30.6; 30.7; 25.8; 23.3; 26.4; 29.8; 18.7; 32.0